[1]
A geometry-optimized Li2Zn2TeO6 structure. Source: Alexandria, functional GGA-PBE.

Cell lengths 5.2657, 5.2657, 5.3146 Å; angles 100.80, 100.80, 117.45 degrees
Fractional coordinates of all 11 atoms:
O (0.0547, 0.3736, 0.7287)
O (0.2284, 0.2284, 0.2888)
O (0.3736, 0.0547, 0.7287)
O (0.7716, 0.7716, 0.7112)
O (0.9453, 0.6264, 0.2713)
O (0.6264, 0.9453, 0.2713)
Zn (0.3368, 0.6632, 0.5000)
Zn (0.6632, 0.3368, 0.5000)
Te (0.0000, 0.0000, 0.5000)
Li (0.1791, 0.8209, 0.0000)
Li (0.8209, 0.1791, 0.0000)

Values from the calculation:
- V: 11.1 Å³ per atom
- Total DFT energy (no corrections): -5.04 eV per atom
- Space group: No. 12
- Raw formation energy: -1.47 eV/atom

[2]
A geometry-optimized LiZrTe2O8 structure. Source: Alexandria, functional GGA-PBE.

Cell lengths 6.0217, 6.0217, 6.0217 Å; angles 107.71, 107.71, 113.06 degrees
Fractional coordinates of all 12 atoms:
O (0.8836, 0.6953, 0.1884)
O (0.9351, 0.2282, 0.2930)
O (0.3579, 0.0649, 0.2930)
O (0.9351, 0.6421, 0.7070)
O (0.3047, 0.4931, 0.1884)
O (0.7718, 0.0649, 0.7070)
O (0.5069, 0.6953, 0.8116)
O (0.3047, 0.1164, 0.8116)
Te (0.5000, 0.5000, 0.0000)
Te (0.7500, 0.2500, 0.5000)
Li (0.2500, 0.7500, 0.5000)
Zr (0.0000, 0.0000, 0.0000)

Values from the calculation:
- V: 14.0 Å³ per atom
- Total DFT energy (no corrections): -6.15 eV per atom
- Space group: No. 119
- Raw formation energy: -1.45 eV/atom

[3]
A geometry-optimized LiZr2TeO structure. Source: Alexandria, functional GGA-PBE.

Cell lengths 4.7694, 4.2230, 4.7694 Å; angles 90.00, 90.00, 90.00 degrees
Fractional coordinates of all 5 atoms:
Zr (0.0000, 0.0000, 0.5000)
Zr (0.5000, 0.0000, 0.0000)
Li (0.0000, 0.0000, 0.0000)
O (0.5000, 0.5000, 0.5000)
Te (0.0000, 0.5000, 0.0000)

Values from the calculation:
- V: 19.2 Å³ per atom
- Total DFT energy (no corrections): -5.03 eV per atom
- Space group: No. 123
- Raw formation energy: 0.39 eV/atom

[4]
A geometry-optimized LiZrTe2O structure. Source: Alexandria, functional GGA-PBE.

Cell lengths 5.0456, 3.7218, 5.0456 Å; angles 90.00, 90.00, 90.00 degrees
Site moments in Bohr magnetons follow the coordinates.
Fractional coordinates of all 5 atoms:
Li (0.0000, 0.5000, 0.0000)  0.01
O (0.0000, 0.0000, 0.0000)  0.05
Te (0.5000, 0.0000, 0.0000)  -0.03
Te (0.0000, 0.0000, 0.5000)  -0.02
Zr (0.5000, 0.5000, 0.5000)  0.55

Values from the calculation:
- V: 19.0 Å³ per atom
- Total DFT energy (no corrections): -5.00 eV per atom
- Space group: No. 123
- Raw formation energy: -0.66 eV/atom

[5]
A geometry-optimized Li2ZrTeO6 structure. Source: Alexandria, functional GGA-PBE.

Cell lengths 5.5770, 5.5770, 5.5770 Å; angles 56.10, 56.10, 56.10 degrees
Fractional coordinates of all 10 atoms:
Zr (0.9995, 0.9995, 0.9995)
O (0.7146, 0.1253, 0.3875)
O (0.6067, 0.2403, 0.8595)
O (0.1253, 0.3875, 0.7146)
O (0.2403, 0.8595, 0.6067)
O (0.8595, 0.6067, 0.2403)
O (0.3875, 0.7146, 0.1253)
Li (0.7858, 0.7858, 0.7858)
Li (0.2750, 0.2750, 0.2750)
Te (0.4950, 0.4950, 0.4950)

Values from the calculation:
- V: 11.2 Å³ per atom
- Total DFT energy (no corrections): -6.60 eV per atom
- Space group: No. 146
- Raw formation energy: -2.08 eV/atom

[6]
A geometry-optimized LiZrTeO6 structure. Source: Alexandria, functional GGA-PBE.

Cell lengths 4.8721, 4.8721, 9.4448 Å; angles 90.00, 90.00, 90.00 degrees
Site moments in Bohr magnetons follow the coordinates.
Fractional coordinates of all 18 atoms:
Li (0.0000, 0.0000, 0.0032)  0.00
Li (0.5000, 0.5000, 0.5032)  0.00
Zr (0.5000, 0.5000, 0.1717)  -0.03
Zr (0.0000, 0.0000, 0.6717)  -0.03
O (0.2184, 0.7816, 0.8255)  0.15
O (0.1932, 0.8068, 0.1836)  0.11
O (0.2816, 0.2816, 0.3255)  0.15
O (0.7184, 0.7184, 0.3255)  0.15
O (0.3068, 0.3068, 0.6836)  0.11
O (0.8068, 0.1932, 0.1836)  0.11
O (0.6857, 0.6857, 0.9874)  0.12
O (0.8143, 0.1857, 0.4874)  0.12
O (0.1857, 0.8143, 0.4874)  0.12
O (0.7816, 0.2184, 0.8255)  0.15
O (0.3143, 0.3143, 0.9874)  0.12
O (0.6932, 0.6932, 0.6836)  0.11
Te (0.5000, 0.5000, 0.8323)  -0.02
Te (0.0000, 0.0000, 0.3323)  -0.02

Values from the calculation:
- V: 12.5 Å³ per atom
- Total DFT energy (no corrections): -6.60 eV per atom
- Space group: No. 102
- Raw formation energy: -1.79 eV/atom

[7]
A geometry-optimized LiTh2O structure. Source: Alexandria, functional GGA-PBE.

Cell lengths 3.4877, 3.4877, 10.0046 Å; angles 79.96, 79.96, 60.00 degrees
Fractional coordinates of all 4 atoms:
Li (0.0000, 0.0000, 0.0000)
Th (0.1144, 0.1144, 0.6568)
Th (0.8856, 0.8856, 0.3432)
O (0.5000, 0.5000, 0.5000)

Values from the calculation:
- V: 25.8 Å³ per atom
- Total DFT energy (no corrections): -6.33 eV per atom
- Space group: No. 166
- Raw formation energy: -0.90 eV/atom

[8]
A geometry-optimized Li2ThUO6 structure. Source: Alexandria, functional GGA-PBE.

Cell lengths 5.5024, 6.1310, 8.3656 Å; angles 90.00, 89.95, 90.00 degrees
Fractional coordinates of all 20 atoms:
O (0.3601, 0.9875, 0.7363)
O (0.1399, 0.4875, 0.7637)
O (0.3408, 0.7035, 0.4368)
O (0.1914, 0.1758, 0.4295)
O (0.6914, 0.3242, 0.9295)
O (0.8601, 0.5125, 0.2363)
O (0.8086, 0.8242, 0.5705)
O (0.3086, 0.6758, 0.0705)
O (0.6399, 0.0125, 0.2637)
O (0.8408, 0.7965, 0.9368)
O (0.1592, 0.2035, 0.0632)
O (0.6592, 0.2965, 0.5632)
U (0.5000, 0.0000, 0.5000)
U (0.0000, 0.5000, 0.0000)
Li (0.4882, 0.4146, 0.7507)
Li (0.0118, 0.9146, 0.7493)
Li (0.5118, 0.5854, 0.2493)
Li (0.9882, 0.0854, 0.2507)
Th (0.5000, 0.0000, 0.0000)
Th (0.0000, 0.5000, 0.5000)

Values from the calculation:
- V: 14.1 Å³ per atom
- Total DFT energy (no corrections): -8.22 eV per atom
- Space group: No. 14
- Raw formation energy: -2.99 eV/atom